i | Below is crystalline InCoSn2Pb at its relaxed geometry, with properties calculated at the PBE level.

Structure (extended XYZ):
```
5
Lattice="4.990 0.000 0.000 0.000 4.990 0.000 0.000 0.000 5.076" Properties=species:S:1:pos:R:3 pbc="T T T"
Co 0.000 0.000 0.000
Sn 0.000 2.495 0.000
Sn 2.495 0.000 0.000
In 0.000 0.000 2.538
Pb 2.495 2.495 2.538
```

- DOS at the Fermi energy (states/eV per atom) = 0.9794
- spin magnetization (μB per formula unit) = 0.0
- space group = P4/mmm (123)



ii | Below is crystalline InCoSn2Pb at its relaxed geometry, with properties calculated at the PBE level.

Structure (extended XYZ):
```
5
Lattice="-4.768 -0.467 -1.371 -0.446 -4.016 2.917 -1.443 3.050 3.979" Properties=species:S:1:pos:R:3 pbc="T T T"
Pb -0.721 1.525 1.989
Sn -2.384 -0.233 -0.686
Sn -0.223 -2.008 1.458
In -3.329 -0.716 2.762
Co 0.000 0.000 0.000
```

- DOS at the Fermi energy (states/eV per atom) = 0.6928
- spin magnetization (μB per formula unit) = 0.0
- space group = P4/mmm (123)



Most stable structure: i



i | Below is crystalline TlIn2CoPb at its relaxed geometry, with properties calculated at the PBE level.

Structure (extended XYZ):
```
5
Lattice="5.023 0.000 0.000 0.000 5.023 0.000 0.000 0.000 5.081" Properties=species:S:1:pos:R:3 pbc="T T T"
In 2.512 0.000 0.000
In 0.000 2.512 0.000
Tl 0.000 0.000 2.541
Pb 2.512 2.512 2.541
Co 0.000 0.000 0.000
```

- DOS at the Fermi energy (states/eV per atom) = 0.8462
- spin magnetization (μB per formula unit) = 0.0
- space group = P4/mmm (123)



ii | Below is crystalline TlIn2CoPb at its relaxed geometry, with properties calculated at the PBE level.

Structure (extended XYZ):
```
5
Lattice="5.069 0.000 0.000 0.000 5.069 0.000 0.000 0.000 5.042" Properties=species:S:1:pos:R:3 pbc="T T T"
Pb 0.000 0.000 2.521
In 0.000 2.534 0.000
In 2.534 0.000 0.000
Co 0.000 0.000 0.000
Tl 2.534 2.534 2.521
```

- DOS at the Fermi energy (states/eV per atom) = 0.8554
- spin magnetization (μB per formula unit) = 0.0
- space group = P4/mmm (123)



Most stable structure: ii



i | Below is crystalline TlInCoPb2 at its relaxed geometry, with properties calculated at the PBE level.

Structure (extended XYZ):
```
5
Lattice="-3.107 -3.955 -1.054 3.341 -3.224 2.249 -2.383 0.672 4.504" Properties=species:S:1:pos:R:3 pbc="T T T"
Co 0.000 0.000 0.000
Pb -1.191 0.336 2.252
Pb -1.554 -1.978 -0.527
Tl 1.671 -1.612 1.124
In -1.074 -3.254 2.849
```

- DOS at the Fermi energy (states/eV per atom) = 0.8804
- spin magnetization (μB per formula unit) = 0.6
- space group = P4/mmm (123)



ii | Below is crystalline TlInCoPb2 at its relaxed geometry, with properties calculated at the PBE level.

Structure (extended XYZ):
```
5
Lattice="5.136 0.000 0.000 0.000 5.136 0.000 0.000 0.000 5.090" Properties=species:S:1:pos:R:3 pbc="T T T"
Pb 2.568 0.000 0.000
Pb 0.000 2.568 0.000
In 0.000 0.000 2.545
Tl 2.568 2.568 2.545
Co 0.000 0.000 0.000
```

- DOS at the Fermi energy (states/eV per atom) = 0.8206
- spin magnetization (μB per formula unit) = 0.5
- space group = P4/mmm (123)



Most stable structure: ii



i | Below is crystalline InCo2Pd2 at its relaxed geometry, with properties calculated at the PBE level.

Structure (extended XYZ):
```
10
Lattice="-0.864 -7.147 -0.968 4.288 0.275 -5.857 2.308 -0.504 1.666" Properties=species:S:1:pos:R:3 pbc="T T T"
Pd 3.924 -1.372 -3.343
Pd 1.808 -6.005 -1.815
Pd 4.068 -4.909 -4.613
Pd 1.665 -2.468 -0.545
Co -0.056 -4.328 -1.233
Co 3.480 -2.544 -5.591
Co 1.578 -0.678 -2.391
Co 1.846 -6.194 -4.433
In 0.000 0.000 0.000
In 1.712 -3.436 -3.412
```

- DOS at the Fermi energy (states/eV per atom) = 1.3052
- spin magnetization (μB per formula unit) = 4.2
- space group = P4/mbm (127)



ii | Below is crystalline InCo2Pd2 at its relaxed geometry, with properties calculated at the PBE level.

Structure (extended XYZ):
```
10
Lattice="-2.489 6.219 -3.032 -6.894 -2.500 0.531 -0.225 1.169 2.582" Properties=species:S:1:pos:R:3 pbc="T T T"
Co -7.524 2.632 -0.282
Co -4.500 4.940 -1.063
Co -5.108 -0.052 1.144
Co -2.084 2.255 0.363
Pd -6.909 0.122 -0.657
Pd -6.513 3.826 -2.300
Pd -2.474 3.597 -1.844
Pd -2.870 -0.108 -0.201
In 0.000 0.000 0.000
In -4.691 1.859 -1.251
```

- DOS at the Fermi energy (states/eV per atom) = 1.8313
- spin magnetization (μB per formula unit) = 4.2
- space group = P4/mbm (127)



iii | Below is crystalline InCo2Pd2 at its relaxed geometry, with properties calculated at the PBE level.

Structure (extended XYZ):
```
5
Lattice="3.324 0.000 0.000 0.000 3.324 0.000 1.662 1.662 7.089" Properties=species:S:1:pos:R:3 pbc="T T T"
Pd 3.324 3.324 5.598
Pd 1.662 1.662 1.490
Co 3.324 1.662 3.544
Co 1.662 3.324 3.544
In 0.000 0.000 0.000
```

- DOS at the Fermi energy (states/eV per atom) = 0.7108
- spin magnetization (μB per formula unit) = 3.8
- space group = I4/mmm (139)



Most stable structure: iii



i | Below is crystalline In2CoPd2 at its relaxed geometry, with properties calculated at the PBE level.

Structure (extended XYZ):
```
10
Lattice="-3.726 4.043 -4.053 -4.523 -5.044 -0.873 -1.979 1.245 3.061" Properties=species:S:1:pos:R:3 pbc="T T T"
In -7.244 -0.900 -1.895
In -5.615 2.308 -2.146
In -4.613 -2.065 0.280
In -2.984 1.144 0.029
Co -4.124 -0.501 -2.463
Co 0.000 0.000 0.000
Pd -3.036 1.879 -2.727
Pd -2.148 -1.230 -0.889
Pd -6.101 0.229 -4.038
Pd -5.213 -2.880 -2.199
```

- DOS at the Fermi energy (states/eV per atom) = 1.1067
- spin magnetization (μB per formula unit) = 2.0
- space group = P4/mbm (127)



ii | Below is crystalline In2CoPd2 at its relaxed geometry, with properties calculated at the PBE level.

Structure (extended XYZ):
```
10
Lattice="-1.919 -3.449 6.461 6.501 2.274 3.145 -1.395 2.623 0.986" Properties=species:S:1:pos:R:3 pbc="T T T"
In 2.646 -1.418 7.516
In 1.936 0.243 2.090
In 4.826 0.733 4.875
In -0.244 -1.908 4.731
Pd 3.210 2.280 3.442
Pd 3.638 1.041 7.344
Pd -0.450 0.407 3.248
Pd -0.022 -0.832 7.150
Co 2.291 -0.587 4.803
Co 0.000 0.000 0.000
```

- DOS at the Fermi energy (states/eV per atom) = 0.8855
- spin magnetization (μB per formula unit) = 1.7
- space group = P4/mbm (127)



Most stable structure: i



i | Below is crystalline In2Co2Pd at its relaxed geometry, with properties calculated at the PBE level.

Structure (extended XYZ):
```
10
Lattice="7.242 0.000 0.000 0.000 7.242 0.000 0.000 0.000 3.042" Properties=species:S:1:pos:R:3 pbc="T T T"
In 1.328 4.949 1.521
In 5.914 2.293 1.521
In 2.293 1.328 1.521
In 4.949 5.914 1.521
Co 4.433 0.812 0.000
Co 2.809 6.430 0.000
Co 6.430 4.433 0.000
Co 0.812 2.809 0.000
Pd 0.000 0.000 0.000
Pd 3.621 3.621 0.000
```

- DOS at the Fermi energy (states/eV per atom) = 0.7941
- spin magnetization (μB per formula unit) = 2.0
- space group = P4/mbm (127)



ii | Below is crystalline In2Co2Pd at its relaxed geometry, with properties calculated at the PBE level.

Structure (extended XYZ):
```
10
Lattice="7.537 0.000 0.000 0.000 7.537 0.000 0.000 0.000 2.935" Properties=species:S:1:pos:R:3 pbc="T T T"
In 2.393 6.162 0.000
In 1.375 2.393 0.000
In 5.144 1.375 0.000
In 6.162 5.144 0.000
Co 0.819 4.587 1.467
Co 4.587 6.719 1.467
Co 2.950 0.819 1.467
Co 6.719 2.950 1.467
Pd 0.000 0.000 0.000
Pd 3.769 3.769 0.000
```

- DOS at the Fermi energy (states/eV per atom) = 0.8674
- spin magnetization (μB per formula unit) = 2.6
- space group = P4/mbm (127)



Most stable structure: i



i | Below is crystalline Pm6InCo2 at its relaxed geometry, with properties calculated at the PBE level.

Structure (extended XYZ):
```
18
Lattice="-2.031 -8.289 -1.085 4.669 3.110 -6.522 4.754 0.805 7.125" Properties=species:S:1:pos:R:3 pbc="T T T"
Pm 6.138 -1.519 0.585
Pm 2.384 -5.072 -4.323
Pm 7.767 1.463 1.698
Pm 3.875 -0.360 -2.193
Pm 5.009 0.698 3.840
Pm 3.517 -4.014 1.710
Pm 0.188 -5.397 1.497
Pm 2.772 -0.613 1.378
Pm 7.204 1.024 -1.980
Pm -0.375 -5.837 -2.181
Pm 4.621 -3.761 -1.861
Pm 1.255 -2.855 -1.067
Co 0.918 -2.522 2.035
Co 5.026 -2.220 3.254
Co 2.366 -2.154 -3.737
Co 1.805 -4.962 4.004
In 4.712 1.958 0.301
In 0.000 0.000 0.000
```

- DOS at the Fermi energy (states/eV per atom) = 0.8039
- spin magnetization (μB per formula unit) = 0.0
- space group = Immm (71)



ii | Below is crystalline Pm6InCo2 at its relaxed geometry, with properties calculated at the PBE level.

Structure (extended XYZ):
```
9
Lattice="-2.661 3.541 2.338 4.182 -2.518 3.209 7.042 5.931 -0.969" Properties=species:S:1:pos:R:3 pbc="T T T"
Pm 4.021 5.221 2.034
Pm 1.218 0.855 0.091
Pm 0.975 2.418 2.811
Pm 7.588 4.536 1.766
Pm 4.541 1.733 2.544
Pm 7.344 6.099 4.486
Co 2.813 -0.067 3.304
Co 5.749 7.021 1.274
In 3.521 2.966 -0.484
```

- DOS at the Fermi energy (states/eV per atom) = 0.8957
- spin magnetization (μB per formula unit) = 0.0
- space group = C2/m (12)



Most stable structure: i



i | Below is crystalline Pr6InCo2 at its relaxed geometry, with properties calculated at the PBE level.

Structure (extended XYZ):
```
18
Lattice="8.259 0.007 -2.857 -4.433 7.086 -2.552 0.056 -0.007 8.739" Properties=species:S:1:pos:R:3 pbc="T T T"
Pr 5.534 1.667 -2.608
Pr -0.372 2.024 6.113
Pr 4.254 5.063 -2.783
Pr -1.758 7.022 2.485
Pr 4.094 2.567 3.031
Pr -0.211 4.520 0.299
Pr 3.210 5.427 0.678
Pr 2.619 2.031 -0.471
Pr -1.652 5.419 5.938
Pr 5.641 0.064 0.844
Pr 0.672 1.660 2.652
Pr 1.264 5.056 3.801
Co 2.450 2.762 5.355
Co 5.518 0.000 3.903
Co 1.432 4.324 -2.025
Co 2.797 0.000 1.979
In -2.188 3.540 3.094
In 0.000 0.000 0.000
```

- DOS at the Fermi energy (states/eV per atom) = 0.8438
- spin magnetization (μB per formula unit) = 0.0
- space group = Immm (71)



ii | Below is crystalline Pr6InCo2 at its relaxed geometry, with properties calculated at the PBE level.

Structure (extended XYZ):
```
9
Lattice="4.785 0.000 0.000 -2.392 5.812 0.285 0.000 -1.203 9.072" Properties=species:S:1:pos:R:3 pbc="T T T"
Co 0.000 2.884 1.098
Co 2.392 1.725 8.259
Pr 0.000 2.999 3.717
Pr 0.000 3.538 7.677
Pr 2.392 1.610 5.639
Pr 2.392 1.071 1.680
Pr 0.000 0.137 7.883
Pr 2.392 4.472 1.474
In 0.000 -0.602 4.536
```

- DOS at the Fermi energy (states/eV per atom) = 0.9077
- spin magnetization (μB per formula unit) = 0.0
- space group = C2/m (12)



Most stable structure: i



i | Below is crystalline RbInCo3 at its relaxed geometry, with properties calculated at the PBE level.

Structure (extended XYZ):
```
5
Lattice="5.031 0.000 0.000 0.000 5.031 0.000 0.000 0.000 5.031" Properties=species:S:1:pos:R:3 pbc="T T T"
Co 0.000 0.000 2.515
Co 0.000 2.515 0.000
Co 2.515 0.000 0.000
Rb 2.515 2.515 2.515
In 0.000 0.000 0.000
```

- DOS at the Fermi energy (states/eV per atom) = 1.3867
- spin magnetization (μB per formula unit) = 5.4
- space group = Pm-3m (221)



ii | Below is crystalline RbInCo3 at its relaxed geometry, with properties calculated at the PBE level.

Structure (extended XYZ):
```
5
Lattice="4.669 0.000 0.000 0.000 4.669 0.000 0.000 0.000 4.669" Properties=species:S:1:pos:R:3 pbc="T T T"
Co 2.334 0.000 0.000
Co 0.000 2.334 0.000
Co 0.000 0.000 2.334
Rb 0.000 0.000 0.000
In 2.334 2.334 2.334
```

- DOS at the Fermi energy (states/eV per atom) = 1.5887
- spin magnetization (μB per formula unit) = 3.4
- space group = Pm-3m (221)



Most stable structure: i



i | Below is crystalline RbIn2Co at its relaxed geometry, with properties calculated at the PBE level.

Structure (extended XYZ):
```
8
Lattice="-0.077 5.010 4.271 -1.376 -4.189 4.890 6.277 -0.498 5.772" Properties=species:S:1:pos:R:3 pbc="T T T"
In 3.779 1.388 11.127
In 3.820 -1.109 8.982
In 1.368 1.236 3.660
In 0.681 -0.869 6.097
Co -0.726 0.410 4.580
Co 2.087 -2.138 7.621
Rb 0.000 0.000 0.000
Rb 2.737 2.462 7.312
```

- DOS at the Fermi energy (states/eV per atom) = 0.1938
- spin magnetization (μB per formula unit) = 0.0
- space group = I-42d (122)



ii | Below is crystalline RbIn2Co at its relaxed geometry, with properties calculated at the PBE level.

Structure (extended XYZ):
```
4
Lattice="0.000 3.730 3.730 3.730 0.000 3.730 3.730 3.730 0.000" Properties=species:S:1:pos:R:3 pbc="T T T"
Rb 3.730 3.730 3.730
Co 0.000 0.000 0.000
In 1.865 1.865 1.865
In 5.595 5.595 5.595
```

- DOS at the Fermi energy (states/eV per atom) = 1.8341
- spin magnetization (μB per formula unit) = 1.4
- space group = Fm-3m (225)



Most stable structure: i



i | Below is crystalline RbIn3Co at its relaxed geometry, with properties calculated at the PBE level.

Structure (extended XYZ):
```
5
Lattice="5.113 0.000 0.000 0.000 5.113 0.000 0.000 0.000 5.113" Properties=species:S:1:pos:R:3 pbc="T T T"
In 0.000 2.556 0.000
In 2.556 0.000 0.000
In 0.000 0.000 2.556
Rb 2.556 2.556 2.556
Co 0.000 0.000 0.000
```

- DOS at the Fermi energy (states/eV per atom) = 0.8127
- spin magnetization (μB per formula unit) = 0.0
- space group = Pm-3m (221)



ii | Below is crystalline RbIn3Co at its relaxed geometry, with properties calculated at the PBE level.

Structure (extended XYZ):
```
5
Lattice="6.234 0.000 0.000 0.000 6.234 0.000 0.000 0.000 6.234" Properties=species:S:1:pos:R:3 pbc="T T T"
In 0.000 3.117 0.000
In 0.000 0.000 3.117
In 3.117 0.000 0.000
Rb 0.000 0.000 0.000
Co 3.117 3.117 3.117
```

- DOS at the Fermi energy (states/eV per atom) = 1.7132
- spin magnetization (μB per formula unit) = 1.4
- space group = Pm-3m (221)



Most stable structure: i



i | Below is crystalline In2CoRe at its relaxed geometry, with properties calculated at the PBE level.

Structure (extended XYZ):
```
4
Lattice="-1.448 1.034 2.301 -2.483 -1.050 -1.091 1.272 -7.206 4.041" Properties=species:S:1:pos:R:3 pbc="T T T"
Co -1.052 -5.185 3.508
Re 0.694 -3.933 2.206
In 1.204 -6.818 3.824
In -1.597 -2.094 1.775
```

- DOS at the Fermi energy (states/eV per atom) = 0.6555
- spin magnetization (μB per formula unit) = 0.0
- space group = P4mm (99)



ii | Below is crystalline In2CoRe at its relaxed geometry, with properties calculated at the PBE level.

Structure (extended XYZ):
```
4
Lattice="-0.853 -0.839 -4.052 3.178 -0.537 -0.558 0.952 -5.277 0.892" Properties=species:S:1:pos:R:3 pbc="T T T"
Re 2.653 -3.059 0.074
Co 2.084 -4.609 -1.688
In 3.958 -5.556 0.316
In 0.775 -2.148 -1.921
```

- DOS at the Fermi energy (states/eV per atom) = 0.7819
- spin magnetization (μB per formula unit) = 1.6
- space group = Amm2 (38)



Most stable structure: i